Hf3TeRu | Alexandria | PBE | optimized geometry; formation energy (no corrections) = 0.083 eV per atom; SG = Pm-3m; size of the total moment = 0.00 μB/cell; energy above the most stable polymorph in this dataset = 0 meV/atom
1.0
4.993 0.000 0.000
0.000 4.993 0.000
0.000 0.000 4.993
Ru Te Hf
1 1 3
Cartesian
0.000 0.000 0.000 Ru
2.497 2.497 2.497 Te
0.000 2.497 0.000 Hf
0.000 0.000 2.497 Hf
2.497 0.000 0.000 Hf


HfVTe2Ru | Alexandria | PBE | optimized geometry; formation energy (no corrections) = 0.931 eV per atom; SG = P4/mmm; size of the total moment = 0.14 μB/cell
1.0
-2.541 0.592 -4.456
-2.923 -3.590 1.190
-3.200 3.357 2.270
Ru Te Hf V
1 2 1 1
Cartesian
0.000 0.000 0.000 Ru
-1.600 1.679 1.135 Te
-1.271 0.296 -2.228 Te
-1.461 -1.795 0.595 Hf
-4.332 0.179 -0.498 V


HfThRu2 | Alexandria | PBE | optimized geometry; energy of formation from the pure elements = -0.503 eV/atom; SG = P4/mmm; size of the total moment = 0.00 μB/cell
1.0
3.304 0.000 0.000
0.000 3.304 0.000
0.000 0.000 7.148
Ru Hf Th
2 1 1
Cartesian
0.000 0.000 5.584 Ru
0.000 0.000 1.564 Ru
1.652 1.652 0.000 Hf
1.652 1.652 3.574 Th


HfThRu4 | Alexandria | PBE | optimized geometry; energy of formation from the pure elements = -0.248 eV/atom; SG = F-43m; size of the total moment = 0.00 μB/cell
1.0
-2.388 4.762 -0.040
-3.611 1.138 -3.748
-5.150 0.409 1.300
Ru Hf Th
4 1 1
Cartesian
-4.387 3.742 -2.210 Ru
-5.160 3.375 0.327 Ru
-6.975 3.947 -1.557 Ru
-5.775 1.554 -1.537 Ru
0.000 0.000 0.000 Hf
-2.787 1.577 -0.622 Th